No. 1
Ca3CoSn: optimized geometry, PBE-GGA.

POSCAR file:
```
Ca3CoSn
1.0
5.2770 0.0000 0.0000
0.0000 5.2770 0.0000
0.0000 0.0000 5.2770
Ca Co Sn
3 1 1
Cartesian
0.0000 0.0000 2.6385
0.0000 2.6385 0.0000
2.6385 0.0000 0.0000
0.0000 0.0000 0.0000
2.6385 2.6385 2.6385
```

Values from the calculation:
ΔE_f = 0.016 eV per atom
Space group = Pm-3m, No. 221
N(E_F) = 0.860 states/eV/atom
Energy = -3.4070 eV/atom

---

No. 2
CaBe2In2: optimized geometry, PBE-GGA.

POSCAR file:
```
CaBe2In2
1.0
8.0141 0.0000 0.0000
0.0000 8.0141 0.0000
0.0000 0.0000 3.0598
Ca Be In
2 4 4
Cartesian
0.0000 0.0000 0.0000
4.0071 4.0071 0.0000
1.2866 2.7204 1.5299
2.7204 6.7275 1.5299
5.2937 1.2866 1.5299
6.7275 5.2937 1.5299
1.0945 5.1016 0.0000
2.9125 1.0945 0.0000
5.1016 6.9196 0.0000
6.9196 2.9125 0.0000
```

Values from the calculation:
ΔE_f = 0.358 eV per atom
Space group = P4/mbm, No. 127
N(E_F) = 0.432 states/eV/atom
Energy = -2.6281 eV/atom

---

No. 3
GdSc2Fe: optimized geometry, PBE-GGA.

POSCAR file:
```
GdSc2Fe
1.0
3.1797 0.0000 0.0000
0.0000 3.1797 0.0000
0.0000 0.0000 8.5877
Gd Sc Fe
1 2 1
Cartesian
0.0000 0.0000 0.0000
1.5899 1.5899 2.8105
1.5899 1.5899 5.7771
0.0000 0.0000 4.2938
```

Values from the calculation:
ΔE_f = -0.040 eV per atom
Space group = P4/mmm, No. 123
N(E_F) = 0.825 states/eV/atom
Energy = -8.8420 eV/atom

---

Number 1 is which compound?
Ca3CoSn

---

Which of these has the lowest energy?
GdSc2Fe

---

Look up the ΔE_f of the second one.
0.358 eV per atom

---

What did the third record say?
GdSc2Fe: optimized geometry, PBE-GGA.

POSCAR file:
```
GdSc2Fe
1.0
3.1797 0.0000 0.0000
0.0000 3.1797 0.0000
0.0000 0.0000 8.5877
Gd Sc Fe
1 2 1
Cartesian
0.0000 0.0000 0.0000
1.5899 1.5899 2.8105
1.5899 1.5899 5.7771
0.0000 0.0000 4.2938
```

Values from the calculation:
ΔE_f = -0.040 eV per atom
Space group = P4/mmm, No. 123
N(E_F) = 0.825 states/eV/atom
Energy = -8.8420 eV/atom